ZrIn2Fe, optimized geometry, DFT GGA-PBE; crystal system = tetragonal; DFT formation energy = 0.10 eV/atom; space group = I4/mmm
1.0
5.370 0.115 0.000
1.915 5.018 0.000
-3.642 -2.566 2.999
Fe In Zr
1 2 1
direct
0.750 0.250 0.500
0.000 0.000 0.000
0.500 0.500 0.000
0.250 0.750 0.500